## BaTcF3 (SCAN)

Data for a crystal of BaTcF3 relaxed with PBEsol.

a = 4.261 Å, b = 4.261 Å, c = 4.261 Å
α = 90.00°, β = 90.00°, γ = 90.00°
Space group Pm-3m (No. 221)
Asymmetric unit:
Ba 0.000 0.000 0.000
Tc 0.500 0.500 0.500
F 0.000 0.500 0.500

The calculation puts the calculated volume at 77.3 Å³ per cell. The value obtained for the formation energy (no corrections) is -2052 meV per atom. The calculated total energy is -19.098 eV per atom.